First-principles (PBE) data for a geometry-optimized Mn2FeI structure, as listed in Alexandria via LeMat-Bulk.

abc: 4.206 4.206 4.206
angles: 60.00 60.00 60.00
Fractional coordinates of all 4 atoms:
Mn1 0.250 0.250 0.250
Mn2 0.750 0.750 0.750
Fe1 0.000 0.000 0.000
I1 0.500 0.500 0.500

Calculated values
Calculated volume = 52.6 Å³/cell
ΔE to the lowest computed polymorph = 40 meV per atom
Energy = -24.1 eV/cell